Record 1
Here is an optimized crystal structure of TmZn6Ni6 from Alexandria via LeMat-Bulk. Energies are from PBE-GGA.

Calculated values
As for the volume: 176.2 Å³/cell. Its space group is Immm. Its electronic total energy is -50.735 eV for the cell shown.

```
TmZn6Ni6
1.0
-0.464 1.957 -4.511
-6.180 0.721 -1.756
-0.484 6.445 0.142
Tm Zn Ni
1 6 6
Direct
0.000 0.000 0.000 Tm
0.350 0.650 0.650 Zn
0.650 0.350 0.350 Zn
0.000 0.342 0.658 Zn
0.000 0.658 0.342 Zn
0.301 0.199 0.199 Zn
0.699 0.801 0.801 Zn
0.000 0.500 0.000 Ni
0.500 0.500 0.000 Ni
0.000 0.000 0.500 Ni
0.500 0.000 0.500 Ni
0.500 0.771 0.229 Ni
0.500 0.229 0.771 Ni
```

Record 2
Here is an optimized crystal structure of Tm6ZnNi2 from Alexandria via LeMat-Bulk. Energies are from PBE-GGA.

Calculated values
As for the volume: 420.8 Å³/cell. Its space group is Immm. Its electronic total energy is -85.149 eV for the cell shown.

```
Tm6ZnNi2
1.0
8.183 0.019 -0.041
-3.083 7.580 0.041
-2.767 -3.654 6.779
Tm Zn Ni
12 2 4
Direct
0.538 0.719 0.820 Tm
0.462 0.281 0.180 Tm
0.101 0.281 0.820 Tm
0.899 0.719 0.180 Tm
0.807 0.761 0.568 Tm
0.193 0.239 0.432 Tm
0.193 0.761 0.954 Tm
0.807 0.239 0.046 Tm
0.694 0.368 0.674 Tm
0.306 0.632 0.326 Tm
0.306 0.980 0.674 Tm
0.694 0.020 0.326 Tm
0.000 0.500 0.500 Zn
0.000 0.000 0.000 Zn
0.500 0.379 0.879 Ni
0.500 0.621 0.121 Ni
0.654 0.000 0.654 Ni
0.346 0.000 0.346 Ni
```

Record 3
Here is an optimized crystal structure of TmZnNi2 from Alexandria via LeMat-Bulk. Energies are from PBE-GGA.

Calculated values
As for the volume: 61.2 Å³/cell. Its space group is P4/mmm. Its electronic total energy is -18.531 eV for the cell shown.

```
TmZnNi2
1.0
-0.501 -2.955 1.228
3.153 -0.668 -0.321
0.985 2.065 5.371
Ni Zn Tm
2 1 1
Direct
0.000 0.000 0.788 Ni
0.000 0.000 0.212 Ni
0.500 0.500 0.000 Zn
0.500 0.500 0.500 Tm
```

Record 4
Here is an optimized crystal structure of Tm2Zn5Ni5 from Alexandria via LeMat-Bulk. Energies are from PBE-GGA.

Calculated values
For the relative energy among the computed polymorphs, the calculation gives 44 meV per atom. As for the volume: 179.7 Å³/cell. Its space group is Pmmm. Its electronic total energy is -48.419 eV for the cell shown.

```
Tm2Zn5Ni5
1.0
-3.479 1.883 0.410
-2.333 -4.483 0.793
1.446 0.783 8.677
Tm Zn Ni
2 5 5
Direct
0.000 0.500 0.000 Tm
0.000 0.000 0.500 Tm
0.000 0.500 0.333 Zn
0.000 0.000 0.825 Zn
0.000 0.000 0.175 Zn
0.000 0.500 0.667 Zn
0.500 0.000 0.000 Zn
0.500 0.500 0.500 Ni
0.500 0.749 0.253 Ni
0.500 0.251 0.747 Ni
0.500 0.251 0.253 Ni
0.500 0.749 0.747 Ni
```

Copy entry 4 word for word.
Here is an optimized crystal structure of Tm2Zn5Ni5 from Alexandria via LeMat-Bulk. Energies are from PBE-GGA.

Calculated values
For the relative energy among the computed polymorphs, the calculation gives 44 meV per atom. As for the volume: 179.7 Å³/cell. Its space group is Pmmm. Its electronic total energy is -48.419 eV for the cell shown.

```
Tm2Zn5Ni5
1.0
-3.479 1.883 0.410
-2.333 -4.483 0.793
1.446 0.783 8.677
Tm Zn Ni
2 5 5
Direct
0.000 0.500 0.000 Tm
0.000 0.000 0.500 Tm
0.000 0.500 0.333 Zn
0.000 0.000 0.825 Zn
0.000 0.000 0.175 Zn
0.000 0.500 0.667 Zn
0.500 0.000 0.000 Zn
0.500 0.500 0.500 Ni
0.500 0.749 0.253 Ni
0.500 0.251 0.747 Ni
0.500 0.251 0.253 Ni
0.500 0.749 0.747 Ni
```

Copy entry 3 word for word.
Here is an optimized crystal structure of TmZnNi2 from Alexandria via LeMat-Bulk. Energies are from PBE-GGA.

Calculated values
As for the volume: 61.2 Å³/cell. Its space group is P4/mmm. Its electronic total energy is -18.531 eV for the cell shown.

```
TmZnNi2
1.0
-0.501 -2.955 1.228
3.153 -0.668 -0.321
0.985 2.065 5.371
Ni Zn Tm
2 1 1
Direct
0.000 0.000 0.788 Ni
0.000 0.000 0.212 Ni
0.500 0.500 0.000 Zn
0.500 0.500 0.500 Tm
```

Which value of electronic total energy does entry 2 give? -85.149 eV for the cell shown

Number 3 is which compound? TmZnNi2